Entry 1:
A plane-wave DFT calculation with PBEsol was carried out for an optimized crystal structure of SrHgAs2O7. Values from VASP.

Computed properties:
Spin magnetization = 0.000 μB/atom
SG = P-1 (2)
E = -5.974 eV/atom
Formation energy (no corrections) = -1.486 eV per atom

Structure (Quantum ESPRESSO input):
```
&SYSTEM
  ibrav = 0, nat = 22, ntyp = 4
/
ATOMIC_SPECIES
Sr 87.62 Sr.upf
Hg 200.59 Hg.upf
As 74.92 As.upf
O 16.00 O.upf
ATOMIC_POSITIONS angstrom
Sr 1.313 2.296 3.223
Sr 5.688 6.401 4.142
Hg 1.500 3.708 6.673
Hg 5.500 4.989 0.691
As 2.678 7.306 6.469
As 2.674 5.689 2.360
As 4.327 3.008 5.004
As 4.322 1.390 0.896
O 1.309 6.267 6.369
O 1.292 4.690 2.390
O 1.355 1.531 5.602
O 2.486 6.962 3.452
O 2.701 6.489 0.757
O 2.839 3.811 4.815
O 2.859 2.230 1.137
O 4.142 6.466 6.227
O 4.162 4.885 2.549
O 4.299 2.207 6.608
O 4.515 1.735 3.913
O 5.645 7.166 1.763
O 5.709 4.006 4.974
O 5.691 2.430 0.995
CELL_PARAMETERS angstrom
5.835 0.000 0.000
1.138 7.203 0.000
0.027 1.494 7.364
```

Entry 2:
A plane-wave DFT calculation with PBEsol was carried out for an optimized crystal structure of ZrHgAs2O. Values from VASP.

Computed properties:
Spin magnetization = 0.374 μB/atom
SG = P4/mmm (123)
N(E_F) = 1.292 states/eV per atom
E = -4.225 eV/atom
Formation energy (no corrections) = 0.798 eV per atom

Structure (Quantum ESPRESSO input):
```
&SYSTEM
  ibrav = 0, nat = 5, ntyp = 4
/
ATOMIC_SPECIES
Zr 91.22 Zr.upf
Hg 200.59 Hg.upf
As 74.92 As.upf
O 16.00 O.upf
ATOMIC_POSITIONS angstrom
Zr 0.000 0.000 0.000
Hg 0.000 0.000 2.833
As 0.000 2.535 0.000
As 2.535 0.000 0.000
O 2.535 2.535 2.833
CELL_PARAMETERS angstrom
5.071 0.000 0.000
0.000 5.071 0.000
0.000 0.000 5.666
```

Entry 3:
A plane-wave DFT calculation with PBEsol was carried out for an optimized crystal structure of HgAs2Os. Values from VASP.

Computed properties:
Spin magnetization = 0.000 μB/atom
SG = I-4m2 (119)
N(E_F) = 0.861 states/eV per atom
E = -4.955 eV/atom
ΔH_f (0 K) = 794 meV/atom

Structure (Quantum ESPRESSO input):
```
&SYSTEM
  ibrav = 0, nat = 4, ntyp = 3
/
ATOMIC_SPECIES
Hg 200.59 Hg.upf
As 74.92 As.upf
Os 190.23 Os.upf
ATOMIC_POSITIONS angstrom
Hg 0.000 0.000 0.000
As 2.023 0.000 2.088
As 0.000 0.000 4.176
Os 0.000 2.023 2.088
CELL_PARAMETERS angstrom
-2.023 2.023 4.176
2.023 -2.023 4.176
2.023 2.023 -4.176
```

Entry 4:
A plane-wave DFT calculation with PBEsol was carried out for an optimized crystal structure of HgAs2Os. Values from VASP.

Computed properties:
Spin magnetization = 0.000 μB/atom
SG = Cmm2 (35)
N(E_F) = 0.759 states/eV per atom
E = -5.228 eV/atom
ΔH_f (0 K) = 521 meV/atom

Structure (Quantum ESPRESSO input):
```
&SYSTEM
  ibrav = 0, nat = 4, ntyp = 3
/
ATOMIC_SPECIES
Hg 200.59 Hg.upf
As 74.92 As.upf
Os 190.23 Os.upf
ATOMIC_POSITIONS angstrom
Hg 0.000 0.000 0.000
As 0.000 0.000 4.415
As 1.466 0.000 7.380
Os 1.466 0.000 2.468
CELL_PARAMETERS angstrom
1.466 -2.496 0.000
1.466 2.496 0.000
0.000 0.000 10.006
```

Entry 5:
A plane-wave DFT calculation with PBEsol was carried out for an optimized crystal structure of HgAs2P. Values from VASP.

Computed properties:
Spin magnetization = 0.000 μB/atom
SG = Pmmm (47)
N(E_F) = 0.494 states/eV per atom
E = -3.614 eV/atom
ΔH_f (0 K) = 529 meV/atom

Structure (Quantum ESPRESSO input):
```
&SYSTEM
  ibrav = 0, nat = 4, ntyp = 3
/
ATOMIC_SPECIES
Hg 200.59 Hg.upf
As 74.92 As.upf
P 30.97 P.upf
ATOMIC_POSITIONS angstrom
Hg 0.000 0.000 0.000
As 0.000 2.350 2.367
As 1.667 0.000 2.367
P 1.667 2.350 0.000
CELL_PARAMETERS angstrom
3.333 0.000 0.000
0.000 4.701 0.000
0.000 0.000 4.734
```

Entry 6:
A plane-wave DFT calculation with PBEsol was carried out for an optimized crystal structure of Hg2AsP. Values from VASP.

Computed properties:
Spin magnetization = 0.000 μB/atom
SG = Cm (8)
N(E_F) = 0.260 states/eV per atom
E = -2.919 eV/atom
ΔH_f (0 K) = 89 meV/atom

Structure (Quantum ESPRESSO input):
```
&SYSTEM
  ibrav = 0, nat = 4, ntyp = 3
/
ATOMIC_SPECIES
Hg 200.59 Hg.upf
As 74.92 As.upf
P 30.97 P.upf
ATOMIC_POSITIONS angstrom
Hg 0.000 0.000 0.000
Hg 1.099 0.000 5.109
As 5.640 0.000 1.996
P 2.897 0.000 3.261
CELL_PARAMETERS angstrom
3.717 -1.691 0.000
3.717 1.691 0.000
-0.812 0.000 7.106
```

Entry 7:
A plane-wave DFT calculation with PBEsol was carried out for an optimized crystal structure of HgAs2P. Values from VASP.

Computed properties:
Spin magnetization = 0.000 μB/atom
SG = P4/mmm (123)
N(E_F) = 0.502 states/eV per atom
E = -3.898 eV/atom
ΔH_f (0 K) = 245 meV/atom

Structure (Quantum ESPRESSO input):
```
&SYSTEM
  ibrav = 0, nat = 4, ntyp = 3
/
ATOMIC_SPECIES
Hg 200.59 Hg.upf
As 74.92 As.upf
P 30.97 P.upf
ATOMIC_POSITIONS angstrom
Hg 0.000 0.000 0.000
As 0.000 2.690 0.000
As 2.690 0.000 0.000
P 2.690 2.690 0.000
CELL_PARAMETERS angstrom
5.379 0.000 0.000
0.000 5.379 0.000
0.000 0.000 2.719
```

Entry 8:
A plane-wave DFT calculation with PBEsol was carried out for an optimized crystal structure of Hg2AsP. Values from VASP.

Computed properties:
Spin magnetization = 0.000 μB/atom
SG = R-3m (166)
N(E_F) = 0.477 states/eV per atom
E = -2.516 eV/atom
ΔH_f (0 K) = 492 meV/atom

Structure (Quantum ESPRESSO input):
```
&SYSTEM
  ibrav = 0, nat = 4, ntyp = 3
/
ATOMIC_SPECIES
Hg 200.59 Hg.upf
As 74.92 As.upf
P 30.97 P.upf
ATOMIC_POSITIONS angstrom
Hg 0.000 0.000 7.829
Hg 0.000 0.000 23.815
As 0.000 0.000 0.000
P 0.000 0.000 15.822
CELL_PARAMETERS angstrom
1.475 0.852 10.548
-1.475 0.852 10.548
0.000 -1.704 10.548
```

Entry 9:
A plane-wave DFT calculation with PBEsol was carried out for an optimized crystal structure of Hg2AsP. Values from VASP.

Computed properties:
Spin magnetization = 0.000 μB/atom
SG = Imm2 (44)
N(E_F) = 0.317 states/eV per atom
E = -2.803 eV/atom
ΔH_f (0 K) = 205 meV/atom

Structure (Quantum ESPRESSO input):
```
&SYSTEM
  ibrav = 0, nat = 4, ntyp = 3
/
ATOMIC_SPECIES
Hg 200.59 Hg.upf
As 74.92 As.upf
P 30.97 P.upf
ATOMIC_POSITIONS angstrom
Hg 0.000 0.000 0.000
Hg 0.000 1.939 2.163
As 0.000 0.000 5.215
P 1.671 0.000 3.603
CELL_PARAMETERS angstrom
-1.671 1.939 6.883
1.671 -1.939 6.883
1.671 1.939 -6.883
```

Entry 10:
A plane-wave DFT calculation with PBEsol was carried out for an optimized crystal structure of HgAsP. Values from VASP.

Computed properties:
Spin magnetization = 0.000 μB/atom
SG = F-43m (216)
N(E_F) = 0.308 states/eV per atom
E = -3.348 eV/atom
ΔH_f (0 K) = 473 meV/atom

Structure (Quantum ESPRESSO input):
```
&SYSTEM
  ibrav = 0, nat = 3, ntyp = 3
/
ATOMIC_SPECIES
Hg 200.59 Hg.upf
As 74.92 As.upf
P 30.97 P.upf
ATOMIC_POSITIONS angstrom
Hg 0.000 0.000 0.000
As 3.188 3.188 3.188
P 4.782 4.782 4.782
CELL_PARAMETERS angstrom
0.000 3.188 3.188
3.188 0.000 3.188
3.188 3.188 0.000
```

Entry 11:
A plane-wave DFT calculation with PBEsol was carried out for an optimized crystal structure of HgAs2P2. Values from VASP.

Computed properties:
Spin magnetization = 0.000 μB/atom
SG = I4/mmm (139)
N(E_F) = 0.330 states/eV per atom
E = -4.146 eV/atom
ΔH_f (0 K) = 326 meV/atom

Structure (Quantum ESPRESSO input):
```
&SYSTEM
  ibrav = 0, nat = 5, ntyp = 3
/
ATOMIC_SPECIES
Hg 200.59 Hg.upf
As 74.92 As.upf
P 30.97 P.upf
ATOMIC_POSITIONS angstrom
Hg 0.000 0.000 0.000
As 2.254 0.000 2.591
As 0.000 2.254 2.591
P 0.000 0.000 3.625
P 0.000 0.000 6.739
CELL_PARAMETERS angstrom
-2.254 2.254 5.182
2.254 -2.254 5.182
2.254 2.254 -5.182
```

Entry 12:
A plane-wave DFT calculation with PBEsol was carried out for an optimized crystal structure of HgAs2P. Values from VASP.

Computed properties:
Spin magnetization = 0.000 μB/atom
SG = F-43m (216)
N(E_F) = 0.729 states/eV per atom
E = -3.628 eV/atom
ΔH_f (0 K) = 515 meV/atom

Structure (Quantum ESPRESSO input):
```
&SYSTEM
  ibrav = 0, nat = 4, ntyp = 3
/
ATOMIC_SPECIES
Hg 200.59 Hg.upf
As 74.92 As.upf
P 30.97 P.upf
ATOMIC_POSITIONS angstrom
Hg 0.000 0.000 0.000
As 1.672 1.672 1.672
As 3.343 3.343 3.343
P 5.015 5.015 5.015
CELL_PARAMETERS angstrom
0.000 3.343 3.343
3.343 0.000 3.343
3.343 3.343 0.000
```